[1]
The following is a DFT calculation (PBE) of a geometry-optimized CdNi5P2 structure.

Output
Crystal system   orthorhombic
Energy   -0.2005 Ha/atom
DOS at the Fermi energy   4.8 states/eV per cell
M_tot   0.000 μB per formula unit
Energy of formation from the pure elements   -0.375 eV per atom

Unit cell a=6.0097 b=6.0097 c=6.0097 alpha=147.06 beta=117.82 gamma=72.18
Closest atoms and distances in Å follow each position.
Atoms (fractional coordinates):
Cd: 0.0000 0.0000 0.0000  10 Ni 2.86-3.10, 4 P 3.17
Ni: 0.1410 0.3521 0.7888  3 P 2.17-2.28
Ni: 0.4367 0.6479 0.7888  3 P 2.17-2.28
Ni: 0.5000 0.0000 0.5000  2 P 2.19
Ni: 0.5633 0.3521 0.2112  3 P 2.17-2.28
Ni: 0.8590 0.6479 0.2112  3 P 2.17-2.28
P: 0.2746 0.7746 0.5000  7 Ni 2.17-2.28
P: 0.7254 0.2254 0.5000  7 Ni 2.17-2.28



[2]
The following is a DFT calculation (PBE) of a geometry-optimized TbCeOs4 structure.

Output
Crystal system   cubic
Energy   -0.3487 Ha/atom
DOS at the Fermi energy   4.5 states/eV per cell
M_tot   0.000 μB per formula unit
Energy of formation from the pure elements   -0.241 eV per atom

Unit cell a=5.3868 b=5.3868 c=5.3868 alpha=60.00 beta=60.00 gamma=60.00
Closest atoms and distances in Å follow each position.
Atoms (fractional coordinates):
Tb: 0.0000 0.0000 0.0000  12 Os 3.16, 4 Ce 3.30
Ce: 0.7500 0.7500 0.7500  12 Os 3.16, 4 Tb 3.30
Os: 0.3749 0.3749 0.3749  6 Os 2.69-2.70
Os: 0.3749 0.3749 0.8754  6 Os 2.69-2.70
Os: 0.3749 0.8754 0.3749  6 Os 2.69-2.70
Os: 0.8754 0.3749 0.3749  6 Os 2.69-2.70